Entry 1:
Below is a relaxed AlCl crystal, with properties calculated at the PBE-GGA level.

The uncorrected formation energy comes out at -0.77 eV/atom.

The structure belongs to space group Pmmn (No. 59, origin choice 2); the cell edges are 3.1862, 3.5333 and 8.6289 Å and the angles 90.00°, 90.00° and 90.00°. The inequivalent atoms are Al at (0.2500, 0.2500, 0.0866) and Cl at (0.2500, 0.7500, 0.7134).

***

Entry 2:
Below is a relaxed PmPrAlCd crystal, with properties calculated at the PBE-GGA level.

The formation energy comes out at -0.329 eV per atom. The energy relative to the lowest polymorph listed for this composition is 16 meV/atom.

The structure belongs to space group F-43m (No. 216); the cell edges are 7.6031, 7.6031 and 7.6031 Å and the angles 90.00°, 90.00° and 90.00°. The inequivalent atoms are Pm at (0.0000, 0.0000, 0.0000), Pr at (0.0000, 0.0000, 0.5000), Al at (0.2500, 0.2500, 0.2500) and Cd at (0.2500, 0.2500, 0.7500).

***

Entry 3:
Below is a relaxed PaSnSe3 crystal, with properties calculated at the PBE-GGA level.

The energy relative to the lowest polymorph listed for this composition is 92 meV/atom. The uncorrected formation energy comes out at -0.87 eV/atom.

The structure belongs to space group P2_1/c (No. 14); the cell edges are 9.0912, 6.8730 and 10.3046 Å and the angles 90.00°, 106.64° and 90.00°. The inequivalent atoms are Pa at (0.0880, 0.2486, 0.1155), Sn at (0.4991, 0.7366, 0.5297), Se at (0.1051, 0.0700, 0.3696), Se at (0.1962, 0.5848, 0.5244) and Se at (0.3725, 0.0894, 0.7145).

***

| no. | N(E_F) (states/eV/atom) |
| --- | --- |
| 1 | 0.111 |
| 2 | 1.112 |
| 3 | 0.609 |